[1]
Density functional theory data (PBE) for Ga2Te2Pb after structural relaxation.

POSCAR file:
```
Ga2Te2Pb
1.0
-2.0732 2.0732 8.2773
2.0732 -2.0732 8.2773
2.0732 2.0732 -8.2773
Ga Te Pb
2 2 1
Cartesian
2.0732 0.0000 4.1386
0.0000 2.0732 4.1386
0.0000 0.0000 1.7415
0.0000 0.0000 14.8130
0.0000 0.0000 8.2773
```

Values from the calculation:
- E: -3.2855 eV/atom
- Formation energy (no corrections): -76 meV per atom
- Excess energy over the best structure of this formula in the dataset: 28 meV per atom
- Theoretical density: 7.02 Mg/m³
- V: 142 Å³/f.u.

---

[2]
Density functional theory data (PBE) for Ga2Te4Pb after structural relaxation.

POSCAR file:
```
Ga2Te4Pb
1.0
3.3992 -5.8205 0.0000
3.3992 5.8205 0.0000
0.0000 0.0000 11.6743
Ga Te Pb
4 8 2
Cartesian
3.3871 3.0281 0.0000
3.4114 3.0281 5.8371
3.3871 -3.0281 5.8371
3.4114 -3.0281 0.0000
1.6996 2.9103 2.0698
1.6996 2.9103 9.6045
1.8153 0.8564 5.8371
1.8153 -0.8564 0.0000
1.6996 -2.9103 3.7673
1.6996 -2.9103 7.9069
4.9832 0.8564 0.0000
4.9832 -0.8564 5.8371
3.3992 0.0000 2.9186
3.3992 0.0000 8.7557
```

Values from the calculation:
- E: -3.5266 eV/atom
- Formation energy (no corrections): -337 meV per atom
- Theoretical density: 6.16 Mg/m³
- V: 231 Å³/f.u.

---

[3]
Density functional theory data (PBE) for GaTe2Pb after structural relaxation.

POSCAR file:
```
GaTe2Pb
1.0
-3.3307 3.3307 7.4288
3.3307 -3.3307 7.4288
3.3307 3.3307 -7.4288
Ga Te Pb
2 4 2
Cartesian
0.0000 0.0000 0.0000
0.0000 3.3307 3.7144
4.9961 1.3360 -1.8572
1.3360 1.6654 1.8572
-1.6654 1.9947 5.5716
1.9947 1.6654 9.2860
3.3307 0.0000 3.7144
0.0000 0.0000 7.4288
```

Values from the calculation:
- E: -3.4060 eV/atom
- Formation energy (no corrections): -151 meV per atom
- Theoretical density: 5.36 Mg/m³
- V: 165 Å³/f.u.

---

[4]
Density functional theory data (PBE) for GaTe2Pb after structural relaxation.

POSCAR file:
```
GaTe2Pb
1.0
1.6895 0.9754 11.7606
-1.6895 0.9754 11.7606
0.0000 -1.9508 11.7606
Ga Te Pb
1 2 1
Cartesian
0.0000 0.0000 0.0000
0.0000 0.0000 2.9416
0.0000 0.0000 32.3403
0.0000 0.0000 17.6410
```

Values from the calculation:
- E: -3.0797 eV/atom
- Formation energy (no corrections): 175 meV per atom
- Theoretical density: 7.60 Mg/m³
- V: 116 Å³/f.u.

---

[5]
Density functional theory data (PBE) for Ga2Te2Pb after structural relaxation.

POSCAR file:
```
Ga2Te2Pb
1.0
8.5464 0.0000 0.0000
0.0000 8.5464 0.0000
0.0000 0.0000 3.9388
Ga Te Pb
4 4 2
Cartesian
1.1398 3.1334 0.0000
3.1334 7.4066 0.0000
5.4130 1.1398 0.0000
7.4066 5.4130 0.0000
1.4223 5.6955 1.9694
2.8509 1.4223 1.9694
5.6955 7.1240 1.9694
7.1240 2.8509 1.9694
0.0000 0.0000 1.9694
4.2732 4.2732 1.9694
```

Values from the calculation:
- E: -3.2781 eV/atom
- Formation energy (no corrections): -69 meV per atom
- Excess energy over the best structure of this formula in the dataset: 36 meV per atom
- Theoretical density: 6.95 Mg/m³
- V: 144 Å³/f.u.

---

[6]
Density functional theory data (PBE) for GaTePb after structural relaxation.

POSCAR file:
```
GaTePb
1.0
8.9486 -2.5578 0.0000
8.9486 2.5578 0.0000
-0.8782 0.0000 4.0076
Ga Te Pb
2 2 2
Cartesian
3.7720 0.0000 1.9164
13.2470 0.0000 2.0912
1.3763 0.0000 3.4943
15.6427 0.0000 0.5133
6.8762 0.0000 2.8467
10.1428 0.0000 1.1609
```

Values from the calculation:
- E: -3.4115 eV/atom
- Formation energy (no corrections): -119 meV per atom
- Excess energy over the best structure of this formula in the dataset: 0 meV per atom
- Theoretical density: 7.32 Mg/m³
- V: 92 Å³/f.u.

---

[7]
Density functional theory data (PBE) for Ga2TePb2 after structural relaxation.

POSCAR file:
```
Ga2TePb2
1.0
9.2391 0.0000 0.0000
0.0000 9.2391 0.0000
0.0000 0.0000 3.3190
Ga Te Pb
4 2 4
Cartesian
0.9249 3.6946 0.0000
3.6946 8.3142 0.0000
5.5445 0.9249 0.0000
8.3142 5.5445 0.0000
0.0000 0.0000 1.6595
4.6195 4.6195 1.6595
1.8503 6.4699 1.6595
2.7692 1.8503 1.6595
6.4699 7.3888 1.6595
7.3888 2.7692 1.6595
```

Values from the calculation:
- E: -3.2771 eV/atom
- Formation energy (no corrections): 45 meV per atom
- Excess energy over the best structure of this formula in the dataset: 46 meV per atom
- Theoretical density: 7.99 Mg/m³
- V: 142 Å³/f.u.

---

[8]
Density functional theory data (PBE) for GaTePb2 after structural relaxation.

POSCAR file:
```
GaTePb2
1.0
4.1566 -2.6119 0.0000
4.1566 2.6119 0.0000
-2.0519 0.0000 5.9560
Ga Te Pb
1 1 2
Cartesian
0.0000 0.0000 0.0000
0.4466 0.0000 2.8617
2.8867 0.0000 0.7824
3.5545 0.0000 4.5109
```

Values from the calculation:
- E: -3.3952 eV/atom
- Formation energy (no corrections): 1 meV per atom
- Excess energy over the best structure of this formula in the dataset: 36 meV per atom
- Theoretical density: 7.85 Mg/m³
- V: 129 Å³/f.u.

---

[9]
Density functional theory data (PBE) for Ga2Te2Pb after structural relaxation.

POSCAR file:
```
Ga2Te2Pb
1.0
-2.7794 2.7794 4.4615
2.7794 -2.7794 4.4615
2.7794 2.7794 -4.4615
Ga Te Pb
2 2 1
Cartesian
0.0000 0.0000 1.2694
0.0000 0.0000 7.6536
2.7794 0.0000 2.2307
0.0000 2.7794 2.2307
0.0000 0.0000 4.4615
```

Values from the calculation:
- E: -3.3138 eV/atom
- Formation energy (no corrections): -105 meV per atom
- Excess energy over the best structure of this formula in the dataset: 0 meV per atom
- Theoretical density: 7.25 Mg/m³
- V: 138 Å³/f.u.

---

[10]
Density functional theory data (PBE) for Ga2TePb after structural relaxation.

POSCAR file:
```
Ga2TePb
1.0
2.0040 1.1570 7.7888
-2.0040 1.1570 7.7888
0.0000 -2.3140 7.7888
Ga Te Pb
2 1 1
Cartesian
0.0000 0.0000 0.0000
0.0000 0.0000 4.2206
0.0000 0.0000 13.8292
0.0000 0.0000 9.8679
```

Values from the calculation:
- E: -3.2343 eV/atom
- Formation energy (no corrections): -8 meV per atom
- Excess energy over the best structure of this formula in the dataset: 38 meV per atom
- Theoretical density: 7.27 Mg/m³
- V: 108 Å³/f.u.

---

[11]
Density functional theory data (PBE) for GaTePb2 after structural relaxation.

POSCAR file:
```
GaTePb2
1.0
0.0000 3.8579 3.8579
3.8579 0.0000 3.8579
3.8579 3.8579 0.0000
Ga Te Pb
1 1 2
Cartesian
0.0000 0.0000 0.0000
3.8579 3.8579 3.8579
1.9290 1.9290 1.9290
5.7869 5.7869 5.7869
```

Values from the calculation:
- E: -3.3363 eV/atom
- Formation energy (no corrections): 60 meV per atom
- Excess energy over the best structure of this formula in the dataset: 95 meV per atom
- Theoretical density: 8.85 Mg/m³
- V: 115 Å³/f.u.

---

[12]
Density functional theory data (PBE) for Ga5Te12Pb3 after structural relaxation.

POSCAR file:
```
Ga5Te12Pb3
1.0
-8.7363 8.7363 8.7363
8.7363 -8.7363 8.7363
8.7363 8.7363 -8.7363
Ga Te Pb
20 48 12
Cartesian
0.0000 0.0000 0.0000
4.3682 4.3682 -4.3682
4.3682 -4.3682 4.3682
8.7363 0.0000 0.0000
13.1045 2.1841 0.0000
8.7363 -4.3682 6.5522
6.5522 8.7363 -4.3682
6.5522 0.0000 4.3682
4.3682 6.5522 0.0000
8.7363 4.3682 2.1841
-4.3682 4.3682 4.3682
0.0000 8.7363 0.0000
0.0000 0.0000 8.7363
4.3682 4.3682 4.3682
0.0000 4.3682 6.5522
4.3682 2.1841 8.7363
2.1841 8.7363 4.3682
2.1841 0.0000 13.1045
0.0000 13.1045 2.1841
-4.3682 6.5522 8.7363
2.5848 -0.5129 1.0649
10.5197 5.4331 -4.8810
8.2234 -1.0649 2.5848
13.6173 -1.7834 3.3032
11.3211 0.5129 1.0649
10.5197 -3.3032 4.8810
1.0649 2.5848 -0.5129
12.0395 3.8553 -1.7834
5.4331 4.8810 -1.7834
7.6714 2.5848 0.5129
-0.5129 1.0649 2.5848
4.8810 -1.7834 5.4331
8.2234 7.6714 -2.5848
4.8810 1.7834 3.3032
7.6714 -2.5848 8.2234
5.4331 -4.8810 10.5197
3.3032 4.8810 1.7834
9.8012 6.1515 0.5129
2.5848 8.2234 -1.0649
10.5197 3.3032 3.8553
4.8810 10.5197 -3.3032
8.2234 1.0649 6.1515
1.7834 3.3032 4.8810
2.5848 0.5129 7.6714
6.1515 8.2234 1.0649
6.9529 5.4331 3.8553
0.5129 7.6714 2.5848
3.8553 -1.7834 12.0395
-1.7834 5.4331 4.8810
6.1515 0.5129 9.8012
-1.0649 2.5848 8.2234
5.4331 3.8553 6.9529
3.3032 13.6173 -1.7834
1.0649 11.3211 0.5129
3.8553 6.9529 5.4331
0.5129 1.0649 11.3211
3.8553 10.5197 3.3032
9.2492 7.6714 6.1515
1.0649 6.1515 8.2234
3.3032 3.8553 10.5197
-3.3032 4.8810 10.5197
7.6714 6.1515 9.2492
-1.7834 12.0395 3.8553
-2.5848 8.2234 7.6714
-4.8810 10.5197 5.4331
0.5129 9.8012 6.1515
-1.7834 3.3032 13.6173
6.1515 9.2492 7.6714
4.3682 2.1841 0.0000
8.7363 4.3682 -2.1841
2.1841 0.0000 4.3682
10.9204 0.0000 4.3682
0.0000 4.3682 2.1841
4.3682 -2.1841 8.7363
4.3682 10.9204 0.0000
8.7363 4.3682 6.5522
-2.1841 8.7363 4.3682
6.5522 8.7363 4.3682
0.0000 4.3682 10.9204
4.3682 6.5522 8.7363
```

Values from the calculation:
- E: -3.3461 eV/atom
- Formation energy (no corrections): -148 meV per atom
- Theoretical density: 6.23 Mg/m³
- V: 667 Å³/f.u.

---

[13]
Density functional theory data (PBE) for Ga2TePb after structural relaxation.

POSCAR file:
```
Ga2TePb
1.0
-3.2020 3.2020 6.4238
3.2020 -3.2020 6.4238
3.2020 3.2020 -6.4238
Ga Te Pb
4 2 2
Cartesian
4.8031 1.5519 -1.6060
1.5519 1.6010 1.6060
-1.6010 1.6501 4.8179
1.6501 1.6010 8.0298
3.2020 0.0000 3.2119
0.0000 0.0000 6.4238
0.0000 0.0000 0.0000
0.0000 3.2020 3.2119
```

Values from the calculation:
- E: -3.2722 eV/atom
- Formation energy (no corrections): -46 meV per atom
- Excess energy over the best structure of this formula in the dataset: 0 meV per atom
- Theoretical density: 5.98 Mg/m³
- V: 132 Å³/f.u.

---

[14]
Density functional theory data (PBE) for GaTe2Pb2 after structural relaxation.

POSCAR file:
```
GaTe2Pb2
1.0
8.6433 0.0000 0.0000
0.0000 8.6433 0.0000
0.0000 0.0000 4.3169
Ga Te Pb
2 4 4
Cartesian
0.0000 0.0000 0.0000
4.3216 4.3216 0.0000
1.3716 2.9500 0.0000
2.9500 7.2716 0.0000
5.6933 1.3716 0.0000
7.2716 5.6933 0.0000
1.2741 5.5957 2.1585
3.0475 1.2741 2.1585
5.5957 7.3692 2.1585
7.3692 3.0475 2.1585
```

Values from the calculation:
- E: -3.4721 eV/atom
- Formation energy (no corrections): -127 meV per atom
- Excess energy over the best structure of this formula in the dataset: 0 meV per atom
- Theoretical density: 7.61 Mg/m³
- V: 161 Å³/f.u.

---

[15]
Density functional theory data (PBE) for GaTePb after structural relaxation.

POSCAR file:
```
GaTePb
1.0
4.8480 0.0000 0.0000
-2.4240 4.1985 0.0000
0.0000 0.0000 4.2831
Ga Te Pb
1 1 1
Cartesian
0.0000 0.0000 0.0000
2.4240 1.3995 1.1767
0.0000 2.7990 2.8523
```

Values from the calculation:
- E: -3.3000 eV/atom
- Formation energy (no corrections): -8 meV per atom
- Excess energy over the best structure of this formula in the dataset: 112 meV per atom
- Theoretical density: 7.70 Mg/m³
- V: 87 Å³/f.u.

---

[16]
Density functional theory data (PBE) for GaTePb2 after structural relaxation.

POSCAR file:
```
GaTePb2
1.0
5.3338 0.0000 0.0000
0.0000 5.3338 0.0000
0.0000 0.0000 4.0895
Ga Te Pb
1 1 2
Cartesian
0.0000 0.0000 0.0000
2.6669 2.6669 0.0000
0.0000 2.6669 2.0447
2.6669 0.0000 2.0447
```

Values from the calculation:
- E: -3.4313 eV/atom
- Formation energy (no corrections): -35 meV per atom
- Excess energy over the best structure of this formula in the dataset: 0 meV per atom
- Theoretical density: 8.73 Mg/m³
- V: 116 Å³/f.u.

---

[17]
Density functional theory data (PBE) for GaTe2Pb after structural relaxation.

POSCAR file:
```
GaTe2Pb
1.0
1.9395 1.1198 9.7917
-1.9395 1.1198 9.7917
0.0000 -2.2396 9.7917
Ga Te Pb
1 2 1
Cartesian
0.0000 0.0000 0.0000
0.0000 0.0000 11.4733
0.0000 0.0000 17.9017
0.0000 0.0000 14.6875
```

Values from the calculation:
- E: -3.3291 eV/atom
- Formation energy (no corrections): -74 meV per atom
- Theoretical density: 6.93 Mg/m³
- V: 128 Å³/f.u.

---

[18]
Density functional theory data (PBE) for GaTe6Pb4 after structural relaxation.

POSCAR file:
```
GaTe6Pb4
1.0
8.1754 -4.1543 0.0000
8.1754 4.1543 0.0000
-6.7064 0.0000 12.8659
Ga Te Pb
2 12 8
Cartesian
4.8222 2.3086 6.4330
8.1754 -2.3086 0.0000
-0.7493 1.9214 9.5342
4.5979 1.8166 3.8469
4.3924 2.6074 11.1488
3.8107 0.2814 7.8651
7.4055 1.7816 6.8552
2.6039 -1.9214 3.1012
7.1639 -0.2814 1.4322
1.2447 -1.8166 10.2799
10.7587 -1.7816 0.4222
11.6867 0.3589 6.9675
7.7456 -2.6074 4.7159
15.0399 -0.3589 0.5345
7.6035 2.9124 3.3971
0.6312 0.3498 7.3273
1.4053 1.4085 11.7501
3.9844 -0.3498 0.8944
6.7578 0.8435 9.7101
4.7585 -1.4085 5.3172
10.1110 -0.8435 3.2772
4.2503 -2.9124 9.8301
```

Values from the calculation:
- E: -3.6026 eV/atom
- Formation energy (no corrections): -265 meV per atom
- Theoretical density: 6.32 Mg/m³
- V: 437 Å³/f.u.

---

[19]
Density functional theory data (PBE) for Ga2TePb2 after structural relaxation.

POSCAR file:
```
Ga2TePb2
1.0
-2.4322 2.4322 6.0018
2.4322 -2.4322 6.0018
2.4322 2.4322 -6.0018
Ga Te Pb
2 1 2
Cartesian
0.0000 0.0000 1.2180
0.0000 0.0000 10.7855
0.0000 0.0000 6.0018
2.4322 0.0000 3.0009
0.0000 2.4322 3.0009
```

Values from the calculation:
- E: -3.2005 eV/atom
- Formation energy (no corrections): 122 meV per atom
- Excess energy over the best structure of this formula in the dataset: 122 meV per atom
- Theoretical density: 7.97 Mg/m³
- V: 142 Å³/f.u.

---

[20]
Density functional theory data (PBE) for TlGaTe3Pb after structural relaxation.

POSCAR file:
```
TlGaTe3Pb
1.0
9.5034 0.0000 0.0000
0.0000 4.5170 0.0000
-2.4841 0.0000 10.1108
Tl Ga Te Pb
2 2 6 2
Cartesian
1.5324 1.1293 2.4153
5.4869 3.3878 7.6955
-0.8182 1.1293 6.3491
7.8375 3.3878 3.7617
-1.4686 1.1293 8.8631
0.5132 3.3878 5.4243
3.8618 3.3878 1.8833
3.1575 1.1293 8.2275
6.5061 1.1293 4.6865
8.4879 3.3878 1.2477
0.9380 3.3878 8.9802
6.0813 1.1293 1.1305
```

Values from the calculation:
- E: -3.4099 eV/atom
- Formation energy (no corrections): -322 meV per atom
- Theoretical density: 6.61 Mg/m³
- V: 217 Å³/f.u.